Entry from the Alexandria database: Zr2CrCd at its PBEsol-relaxed geometry (meta-GGA SCAN).

abc: 3.184 3.184 7.596
angles: 90.00 90.00 90.00
Space group P4mm (No. 99)
Asymmetric unit:
Zr: 0.000 0.000 0.000 (multiplicity 1)
Zr: 0.500 0.500 0.282 (multiplicity 1)
Cr: 0.500 0.500 0.786 (multiplicity 1)
Cd: 0.000 0.000 0.563 (multiplicity 1)

Its theoretical density is 7482 kg/m3. As for the total energy: -27.5211 eV/atom. Its volume is 76.98 Å³/cell.